Here is an optimized crystal structure of ErBeCd from the Open Quantum Materials Database. Energies are from PBE.

abc: 6.6484 6.6484 6.6484
angles: 90.00 90.00 90.00
With the nearest neighbours (Å) after each atom.
Space group F-43m (No. 216)
Asymmetric unit:
Er: 0.0000 0.0000 0.0000 x4  4 Cd 2.88, 4 Be 2.88
Be: 0.2500 0.2500 0.7500 x4  4 Er 2.88
Cd: 0.2500 0.2500 0.2500 x4  4 Er 2.88

Results
Distance to the lowest polymorph of the same formula (kJ/mol of atoms): 57.2